No. 1
# Rb2VI6F

A geometry-optimized Rb2VI6F structure (PBE with a Hubbard U, Alexandria via LeMat-Bulk).

Cell: 8.044 8.044 8.044 Å, 119.96 119.96 90.07°
Atoms (fractional coordinates):
Rb  0.250  0.750  0.500
Rb  0.750  0.250  0.500
V  0.000  0.000  0.000
I  0.240  0.240  0.481
I  0.240  0.760  0.000
I  0.241  0.241  0.000
I  0.759  0.759  0.000
I  0.760  0.240  0.000
I  0.760  0.760  0.519
F  0.500  0.500  0.000

Calculated values
- Crystal system: tetragonal
- N(E_F): 0.00 states/eV per cell
- Calculated total energy: -2.757 eV/atom

No. 2
# Rb2VIF6

A geometry-optimized Rb2VIF6 structure (PBE with a Hubbard U, Alexandria via LeMat-Bulk).

Cell: 7.058 7.058 7.058 Å, 60.00 60.00 60.00°
Atoms (fractional coordinates):
Rb  0.250  0.250  0.250
Rb  0.750  0.750  0.750
V  0.000  0.000  0.000
I  0.500  0.500  0.500
F  0.183  0.183  0.817
F  0.183  0.817  0.183
F  0.183  0.817  0.817
F  0.817  0.183  0.183
F  0.817  0.183  0.817
F  0.817  0.817  0.183

Calculated values
- Crystal system: cubic
- N(E_F): 0.00 states/eV per cell
- Calculated total energy: -4.549 eV/atom

No. 3
# RbVI2F

A geometry-optimized RbVI2F structure (PBE with a Hubbard U, Alexandria via LeMat-Bulk).

Cell: 6.012 6.012 4.233 Å, 90.00 90.00 90.00°
Atoms (fractional coordinates):
Rb  0.000  0.000  0.000
V  0.500  0.500  0.500
I  0.000  0.500  0.500
I  0.500  0.000  0.500
F  0.500  0.500  0.000

Calculated values
- Crystal system: tetragonal
- N(E_F): 0.00 states/eV per cell
- Calculated total energy: -4.106 eV/atom

No. 4
# RbVIF2

A geometry-optimized RbVIF2 structure (PBE with a Hubbard U, Alexandria via LeMat-Bulk).

Cell: 5.737 5.737 4.979 Å, 90.00 90.00 90.00°
Atoms (fractional coordinates):
Rb  0.000  0.000  0.000
V  0.500  0.500  0.000
I  0.500  0.500  0.500
F  0.000  0.500  0.500
F  0.500  0.000  0.500

Calculated values
- Crystal system: tetragonal
- N(E_F): 1.81 states/eV per cell
- Calculated total energy: -3.378 eV/atom

No. 5
# Rb3WI2F6

A geometry-optimized Rb3WI2F6 structure (PBE with a Hubbard U, Alexandria via LeMat-Bulk).

Cell: 9.626 9.626 5.632 Å, 93.97 93.97 50.66°
Atoms (fractional coordinates):
Rb  0.000  0.000  0.000
Rb  0.000  0.500  0.500
Rb  0.500  0.000  0.500
W  0.500  0.500  0.500
I  0.198  0.198  0.986
I  0.802  0.802  0.014
F  0.321  0.667  0.267
F  0.333  0.679  0.733
F  0.387  0.387  0.507
F  0.613  0.613  0.493
F  0.667  0.321  0.267
F  0.679  0.333  0.733

Calculated values
- Crystal system: monoclinic
- N(E_F): 0.00 states/eV per cell
- Calculated total energy: -4.383 eV/atom

No. 6
# Rb2WI6F

A geometry-optimized Rb2WI6F structure (PBE with a Hubbard U, Alexandria via LeMat-Bulk).

Cell: 8.096 8.096 8.096 Å, 117.70 117.70 94.03°
Atoms (fractional coordinates):
Rb  0.250  0.750  0.500
Rb  0.750  0.250  0.500
W  0.000  0.000  0.000
I  0.237  0.237  0.475
I  0.237  0.763  0.000
I  0.250  0.250  0.000
I  0.750  0.750  0.000
I  0.763  0.237  0.000
I  0.763  0.763  0.525
F  0.500  0.500  0.000

Calculated values
- Crystal system: tetragonal
- N(E_F): 0.00 states/eV per cell
- Calculated total energy: -2.789 eV/atom

No. 7
# Rb2WIF6

A geometry-optimized Rb2WIF6 structure (PBE with a Hubbard U, Alexandria via LeMat-Bulk).

Cell: 7.380 7.380 7.380 Å, 119.18 119.18 91.43°
Atoms (fractional coordinates):
Rb  0.250  0.750  0.500
Rb  0.750  0.250  0.500
W  0.000  0.000  0.000
I  0.500  0.500  0.000
F  0.185  0.185  0.000
F  0.185  0.185  0.370
F  0.185  0.815  0.000
F  0.815  0.185  0.000
F  0.815  0.815  0.000
F  0.815  0.815  0.630

Calculated values
- Crystal system: tetragonal
- N(E_F): 0.00 states/eV per cell
- Calculated total energy: -4.586 eV/atom

Please write out number 3 again, unchanged.
# RbVI2F

A geometry-optimized RbVI2F structure (PBE with a Hubbard U, Alexandria via LeMat-Bulk).

Cell: 6.012 6.012 4.233 Å, 90.00 90.00 90.00°
Atoms (fractional coordinates):
Rb  0.000  0.000  0.000
V  0.500  0.500  0.500
I  0.000  0.500  0.500
I  0.500  0.000  0.500
F  0.500  0.500  0.000

Calculated values
- Crystal system: tetragonal
- N(E_F): 0.00 states/eV per cell
- Calculated total energy: -4.106 eV/atom